No. 1
# NaErPdPt GGA-PBE relaxed
# calculated volume: 77.5 Å³/f.u.
# final energy: -4.955 eV/atom
data_NaErPdPt
_chemical_formula_sum 'Na4 Er4 Pd4 Pt4'
_cell_length_a 6.7676
_cell_length_b 6.7676
_cell_length_c 6.7676
_cell_angle_alpha 90.00
_cell_angle_beta 90.00
_cell_angle_gamma 90.00
_space_group_name_H-M_alt 'F -4 3 m'
_space_group_IT_number 216
_space_group_name_Hall 'F -4 2 3'
loop_
_atom_site_label
_atom_site_type_symbol
_atom_site_fract_x
_atom_site_fract_y
_atom_site_fract_z
Na1 Na 0.0000 0.0000 0.0000
Er1 Er 0.0000 0.0000 0.5000
Pd1 Pd 0.2500 0.2500 0.7500
Pt1 Pt 0.2500 0.2500 0.2500

No. 2
# Na8B13C3 GGA-PBE relaxed
# energy above the most stable polymorph in this dataset: 66 kJ/mol of formula units
# calculated volume: 258.9 Å³/f.u.
data_Na8B13C3
_chemical_formula_sum 'Na16 B26 C6'
_cell_length_a 2.9047
_cell_length_b 17.2370
_cell_length_c 10.3431
_cell_angle_alpha 90.00
_cell_angle_beta 90.00
_cell_angle_gamma 90.00
_space_group_name_H-M_alt 'A m m 2'
_space_group_IT_number 38
loop_
_space_group_symop_operation_xyz
'x,y,z'
'-x,-y,z'
'-x,y,z'
'x,-y,z'
'x,y+1/2,z+1/2'
'-x,-y+1/2,z+1/2'
'-x,y+1/2,z+1/2'
'x,-y+1/2,z+1/2'
loop_
_atom_site_label
_atom_site_type_symbol
_atom_site_fract_x
_atom_site_fract_y
_atom_site_fract_z
Na1 Na 0.0000 0.1248 0.0000
Na2 Na 0.0000 0.1255 0.4970
Na3 Na 0.5000 0.1246 0.2486
Na4 Na 0.5000 0.1271 0.7470
B1 B 0.0000 0.0000 0.3352
B2 B 0.0000 0.0000 0.8069
B3 B 0.0000 0.2491 0.3296
B4 B 0.0000 0.2496 0.1664
B5 B 0.5000 0.0000 0.0952
B6 B 0.5000 0.0000 0.5729
B7 B 0.5000 0.0000 0.9223
B8 B 0.5000 0.2499 0.0799
B9 B 0.5000 0.2496 0.4162
C1 C 0.0000 0.0000 0.1752
C2 C 0.0000 0.0000 0.6553
C3 C 0.5000 0.0000 0.4154

No. 3
# DyTiPd2 GGA-PBE relaxed
# energy above the most stable polymorph in this dataset: 23 kJ/mol of formula units
# calculated volume: 74.8 Å³/f.u.
data_DyTiPd2
_chemical_formula_sum 'Dy1 Ti1 Pd2'
_cell_length_a 4.7997
_cell_length_b 4.7997
_cell_length_c 3.2483
_cell_angle_alpha 90.00
_cell_angle_beta 90.00
_cell_angle_gamma 90.00
_space_group_name_H-M_alt 'P 4/m m m'
_space_group_IT_number 123
_space_group_name_Hall '-P 4 2'
loop_
_atom_site_label
_atom_site_type_symbol
_atom_site_fract_x
_atom_site_fract_y
_atom_site_fract_z
Dy1 Dy 0.0000 0.0000 0.0000
Ti1 Ti 0.5000 0.5000 0.0000
Pd1 Pd 0.0000 0.5000 0.5000

No. 4
# RbLiSb2I GGA-PBE relaxed
# energy above the most stable polymorph in this dataset: 0 kJ/mol of formula units
# calculated volume: 180.5 Å³/f.u.
data_RbLiSb2I
_chemical_formula_sum 'Rb1 Li1 Sb2 I1'
_cell_length_a 5.0488
_cell_length_b 5.0488
_cell_length_c 7.0801
_cell_angle_alpha 90.00
_cell_angle_beta 90.00
_cell_angle_gamma 90.00
_space_group_name_H-M_alt 'P 4/m m m'
_space_group_IT_number 123
_space_group_name_Hall '-P 4 2'
loop_
_atom_site_label
_atom_site_type_symbol
_atom_site_fract_x
_atom_site_fract_y
_atom_site_fract_z
Rb1 Rb 0.0000 0.0000 0.0000
Li1 Li 0.5000 0.5000 0.5000
Sb1 Sb 0.0000 0.5000 0.5000
I1 I 0.5000 0.5000 0.0000